A geometry-optimized Hf8Co2Bi structure. Source: the Alexandria database, functional PBE-GGA.

Calculated values
Density   12.62 g/cm³
Crystal system   monoclinic
Space group   C2/m (12)
Magnetization   0.000 μB per formula unit
V   231 Å³/f.u.
Formation energy from the elements   -0.064 eV/atom
Raw total energy   -8.948 eV/atom

extended XYZ file:
```
11
Lattice="5.685 -0.022 -0.017 0.166 7.347 1.951 0.166 3.857 6.550" Properties=species:S:1:pos:R:3 pbc="T T T"
Hf 2.284 7.725 4.087
Hf 0.947 8.783 6.664
Co 2.407 2.929 2.223
Hf 5.160 6.664 5.057
Hf 5.071 2.399 1.820
Hf 0.858 4.518 3.428
Bi 0.000 0.000 0.000
Hf 2.284 6.016 6.340
Hf 3.734 3.457 4.398
Co 3.610 8.253 6.262
Hf 3.734 5.166 2.145
```